[1]
The following is a DFT calculation (PBE) of AlFeC3 after structural relaxation.

Cell lengths 3.7433, 3.7433, 3.7433 Å; angles 90.00, 90.00, 90.00 degrees
Closest atoms and distances in Å follow each position.
Space group Pm-3m (No. 221)
Unique sites:
1 Al 0.0000 0.0000 0.0000  12 C 2.65
2 Fe 0.5000 0.5000 0.5000  6 C 1.87
3 C 0.0000 0.5000 0.5000  2 Fe 1.87

Results
The density of states at the Fermi level is 7.02 states/eV/cell. The formation energy from the elements comes out at 1.818 eV per atom. For the total moment, the calculation gives 0.0 Bohr magnetons per cell.


[2]
The following is a DFT calculation (PBE) of Al2FeC2 after structural relaxation.

Cell lengths 5.2709, 5.2709, 3.2007 Å; angles 90.00, 90.00, 90.00 degrees
Closest atoms and distances in Å follow each position.
Space group P4/mbm (No. 127)
Unique sites:
1 Al 0.1977 0.3023 0.0000  6 C 2.16-2.32
2 Fe 0.0000 0.0000 0.5000  4 C 2.14
3 C 0.1087 0.6087 0.5000  1 C 1.62

Results
The density of states at the Fermi level is 3.26 states/eV/cell. The formation energy from the elements comes out at 0.310 eV per atom. For the total moment, the calculation gives 0.0 Bohr magnetons per cell.


[3]
The following is a DFT calculation (PBE) of AlFe4C after structural relaxation.

Cell lengths 2.9172, 3.8538, 6.3561 Å; angles 90.00, 90.00, 90.00 degrees
Closest atoms and distances in Å follow each position.
Space group Pmmm (No. 47)
Unique sites:
1 Al 0.0000 0.0000 0.0000  8 Fe 2.50-2.69
2 Fe 0.0000 0.5000 0.2954  2 C 1.95
3 Fe 0.5000 0.0000 0.3192  2 C 2.24, 5 Fe 2.30-2.42, 2 Al 2.50
4 C 0.5000 0.5000 0.5000  4 Fe 1.95

Results
The density of states at the Fermi level is 5.03 states/eV/cell. The formation energy from the elements comes out at 0.233 eV per atom. For the total moment, the calculation gives 7.7 Bohr magnetons per cell.


[4]
The following is a DFT calculation (PBE) of AlFe3C after structural relaxation.

Cell lengths 4.3325, 4.3325, 4.3325 Å; angles 90.00, 90.00, 90.00 degrees
Closest atoms and distances in Å follow each position.
Space group Pm-3m (No. 221)
Unique sites:
1 Al 0.0000 0.0000 0.0000  6 Fe 2.17
2 Fe 0.0000 0.0000 0.5000  2 Al 2.17
3 C 0.5000 0.5000 0.5000  12 Fe 3.06

Results
The density of states at the Fermi level is 13.89 states/eV/cell. The formation energy from the elements comes out at 2.285 eV per atom. For the total moment, the calculation gives 7.7 Bohr magnetons per cell.


[5]
The following is a DFT calculation (PBE) of AlFeC2 after structural relaxation.

Cell lengths 4.4921, 4.4921, 8.7408 Å; angles 90.00, 90.00, 90.00 degrees
Closest atoms and distances in Å follow each position.
Space group I-42d (No. 122)
Unique sites:
1 Al 0.0000 0.0000 0.0000  4 C 2.03
2 Fe 0.0000 0.0000 0.5000  4 C 1.83
3 C 0.2110 0.2500 0.6250  2 Fe 1.83, 2 Al 2.03

Results
The density of states at the Fermi level is 8.01 states/eV/cell. The formation energy from the elements comes out at 0.526 eV per atom. For the total moment, the calculation gives 0.0 Bohr magnetons per cell.


[6]
The following is a DFT calculation (PBE) of Al2FeC2 after structural relaxation.

Cell lengths 3.6131, 3.6131, 7.9352 Å; angles 90.00, 90.00, 90.00 degrees
Closest atoms and distances in Å follow each position.
Space group I4/mmm (No. 139)
Unique sites:
1 Al 0.0000 0.5000 0.2500  4 C 2.18
2 Fe 0.0000 0.0000 0.0000  8 C 2.67, 8 Al 2.68
3 C 0.0000 0.0000 0.4035  1 C 1.53

Results
The density of states at the Fermi level is 5.24 states/eV/cell. The formation energy from the elements comes out at 0.787 eV per atom. For the total moment, the calculation gives 5.4 Bohr magnetons per cell.


[7]
The following is a DFT calculation (PBE) of AlFe3C after structural relaxation.

Cell lengths 3.7536, 3.7536, 3.7536 Å; angles 90.00, 90.00, 90.00 degrees
Closest atoms and distances in Å follow each position.
Space group Pm-3m (No. 221)
Unique sites:
1 Al 0.0000 0.0000 0.0000  12 Fe 2.65
2 Fe 0.0000 0.5000 0.5000  2 C 1.88
3 C 0.5000 0.5000 0.5000  6 Fe 1.88

Results
The density of states at the Fermi level is 4.07 states/eV/cell. The formation energy from the elements comes out at -0.162 eV per atom. For the total moment, the calculation gives 3.0 Bohr magnetons per cell.


[8]
The following is a DFT calculation (PBE) of Al2Fe6GeC after structural relaxation.

Cell lengths 4.1157, 4.1157, 8.0008 Å; angles 90.00, 90.00, 90.00 degrees
Closest atoms and distances in Å follow each position.
Space group P4/mmm (No. 123)
Unique sites:
1 Al 0.0000 0.0000 0.2387  12 Fe 2.81-2.93
2 Fe 0.0000 0.5000 0.0000  2 Ge 2.06
3 Fe 0.0000 0.5000 0.5000  2 C 2.06
4 Fe 0.5000 0.5000 0.2793  1 C 1.77
5 Ge 0.5000 0.5000 0.0000  6 Fe 2.06-2.23
6 C 0.5000 0.5000 0.5000  2 Fe 1.77

Results
The density of states at the Fermi level is 7.97 states/eV/cell. The formation energy from the elements comes out at 0.419 eV per atom. For the total moment, the calculation gives 11.0 Bohr magnetons per cell.